w.
This record from Alexandria describes Mn3NbBr after structural relaxation. The functional is GGA-PBEsol.

Calculated values
Mass density: 6.82 Mg/m³
Size of the total moment: 5.980 μB per formula unit
Crystal system: cubic

Cell lengths 4.348, 4.348, 4.348 Å; angles 90.00, 90.00, 90.00 degrees
Positions (direct):
Br1 0.000 0.000 0.000
Mn1 0.000 0.000 0.500
Mn2 0.000 0.500 0.000
Mn3 0.500 0.000 0.000
Nb1 0.500 0.500 0.500



x.
This record from Alexandria describes Mn3NbBr after structural relaxation. The functional is GGA-PBEsol.

Calculated values
Mass density: 5.30 Mg/m³
Size of the total moment: 8.403 μB per formula unit
Crystal system: cubic

Cell lengths 4.729, 4.729, 4.729 Å; angles 90.00, 90.00, 90.00 degrees
Positions (direct):
Nb1 0.000 0.000 0.000
Mn1 0.500 0.000 0.000
Mn2 0.000 0.000 0.500
Mn3 0.000 0.500 0.000
Br1 0.500 0.500 0.500



We find w to be the most stable, with the next structure 26.7 kJ/mol of atoms higher.



w.
This record from Alexandria describes MnPtBr2 after structural relaxation. The functional is GGA-PBEsol.

Calculated values
Mass density: 8.68 Mg/m³
Size of the total moment: 4.074 μB per formula unit
Crystal system: orthorhombic

Cell lengths 3.193, 3.376, 8.257 Å; angles 90.00, 90.00, 118.23 degrees
Positions (direct):
Br1 0.000 0.000 0.268
Br2 0.000 0.000 0.732
Mn1 0.500 0.000 0.500
Pt1 0.500 0.000 0.000



x.
This record from Alexandria describes MnPtBr2 after structural relaxation. The functional is GGA-PBEsol.

Calculated values
Mass density: 9.00 Mg/m³
Size of the total moment: 4.772 μB per formula unit
Crystal system: cubic

Cell lengths 4.747, 4.747, 4.747 Å; angles 60.00, 60.00, 60.00 degrees
Positions (direct):
Br1 0.750 0.750 0.750
Br2 0.000 0.000 0.000
Pt1 0.250 0.250 0.250
Mn1 0.500 0.500 0.500



y.
This record from Alexandria describes MnPtBr2 after structural relaxation. The functional is GGA-PBEsol.

Calculated values
Mass density: 8.57 Mg/m³
Size of the total moment: 4.597 μB per formula unit
Crystal system: orthorhombic

Cell lengths 3.319, 4.071, 5.875 Å; angles 90.00, 90.00, 90.00 degrees
Positions (direct):
Br1 0.000 0.000 0.000
Br2 0.500 0.000 0.500
Pt1 0.000 0.500 0.500
Mn1 0.500 0.500 0.000



We find y to be the most stable, with the next structure 10.8 kJ/mol of atoms higher.



w.
This record from Alexandria describes Mn2ReBr after structural relaxation. The functional is GGA-PBEsol.

Calculated values
Mass density: 10.25 Mg/m³
Size of the total moment: 5.345 μB per formula unit
Crystal system: tetragonal

Cell lengths 2.927, 2.927, 7.110 Å; angles 90.00, 90.00, 90.00 degrees
Positions (direct):
Re1 0.500 0.500 0.000
Mn1 0.000 0.000 0.222
Mn2 0.000 0.000 0.778
Br1 0.500 0.500 0.500



x.
This record from Alexandria describes Mn2ReBr after structural relaxation. The functional is GGA-PBEsol.

Calculated values
Mass density: 10.38 Mg/m³
Size of the total moment: 4.467 μB per formula unit
Crystal system: tetragonal

Cell lengths 2.963, 2.963, 6.850 Å; angles 90.00, 90.00, 90.00 degrees
Positions (direct):
Br1 0.500 0.500 0.768
Mn1 0.000 0.000 0.029
Mn2 0.500 0.500 0.261
Re1 0.000 0.000 0.442



We find w to be the most stable, with the next structure 9.3 kJ/mol of atoms higher.



w.
This record from Alexandria describes MnRhBr after structural relaxation. The functional is GGA-PBEsol.

Calculated values
Mass density: 7.90 Mg/m³
Size of the total moment: 3.879 μB per formula unit
Crystal system: trigonal

Cell lengths 3.183, 3.183, 5.695 Å; angles 90.00, 90.00, 120.00 degrees
Positions (direct):
Mn1 0.333 0.667 0.653
Br1 0.000 0.000 0.976
Rh1 0.667 0.333 0.370



x.
This record from Alexandria describes MnRhBr after structural relaxation. The functional is GGA-PBEsol.

Calculated values
Mass density: 8.52 Mg/m³
Size of the total moment: 0.000 μB per formula unit
Crystal system: cubic

Cell lengths 4.032, 4.032, 4.032 Å; angles 60.00, 60.00, 60.00 degrees
Positions (direct):
Mn1 0.250 0.250 0.250
Rh1 0.000 0.000 0.000
Br1 0.500 0.500 0.500



We find w to be the most stable, with the next structure 42.9 kJ/mol of atoms higher.



w.
This record from Alexandria describes Mn2RuBr after structural relaxation. The functional is GGA-PBEsol.

Calculated values
Mass density: 7.42 Mg/m³
Size of the total moment: 8.156 μB per formula unit
Crystal system: tetragonal

Cell lengths 3.055, 3.055, 6.971 Å; angles 90.00, 90.00, 90.00 degrees
Positions (direct):
Mn1 0.000 0.000 0.208
Mn2 0.000 0.000 0.792
Ru1 0.500 0.500 0.000
Br1 0.500 0.500 0.500



x.
This record from Alexandria describes Mn2RuBr after structural relaxation. The functional is GGA-PBEsol.

Calculated values
Mass density: 8.38 Mg/m³
Size of the total moment: 0.134 μB per formula unit
Crystal system: cubic

Cell lengths 4.336, 4.336, 4.336 Å; angles 60.00, 60.00, 60.00 degrees
Positions (direct):
Mn1 0.000 0.000 0.000
Mn2 0.750 0.750 0.750
Ru1 0.250 0.250 0.250
Br1 0.500 0.500 0.500



We find w to be the most stable, with the next structure 30.2 kJ/mol of atoms higher.



w.
This record from Alexandria describes Mn2RuBr after structural relaxation. The functional is GGA-PBEsol.

Calculated values
Mass density: 7.33 Mg/m³
Size of the total moment: 7.495 μB per formula unit
Crystal system: orthorhombic

Cell lengths 3.010, 3.060, 7.158 Å; angles 90.00, 90.00, 90.00 degrees
Positions (direct):
Mn1 0.000 0.500 0.797
Mn2 0.000 0.500 0.203
Br1 0.500 0.500 0.500
Ru1 0.500 0.000 0.000



x.
This record from Alexandria describes Mn2RuBr after structural relaxation. The functional is GGA-PBEsol.

Calculated values
Mass density: 8.27 Mg/m³
Size of the total moment: 5.084 μB per formula unit
Crystal system: tetragonal

Cell lengths 2.971, 2.971, 6.618 Å; angles 90.00, 90.00, 90.00 degrees
Positions (direct):
Mn1 0.500 0.500 0.260
Mn2 0.000 0.000 0.024
Br1 0.500 0.500 0.768
Ru1 0.000 0.000 0.448



We find w to be the most stable, with the next structure 12.4 kJ/mol of atoms higher.



w.
This record from Alexandria describes MnRuBr after structural relaxation. The functional is GGA-PBEsol.

Calculated values
Mass density: 8.47 Mg/m³
Size of the total moment: 2.636 μB per formula unit
Crystal system: tetragonal

Cell lengths 2.976, 2.976, 5.629 Å; angles 105.33, 105.33, 90.00 degrees
Positions (direct):
Br1 0.998 0.998 0.996
Mn1 0.318 0.318 0.635
Ru1 0.684 0.684 0.369



x.
This record from Alexandria describes MnRuBr after structural relaxation. The functional is GGA-PBEsol.

Calculated values
Mass density: 8.20 Mg/m³
Size of the total moment: 3.263 μB per formula unit
Crystal system: trigonal

Cell lengths 3.082, 3.082, 5.811 Å; angles 90.00, 90.00, 120.00 degrees
Positions (direct):
Ru1 0.667 0.333 0.366
Br1 0.000 0.000 0.980
Mn1 0.333 0.667 0.654



We find x to be the most stable, with the next structure 10.3 kJ/mol of atoms higher.



w.
This record from Alexandria describes MnRuBr2 after structural relaxation. The functional is GGA-PBEsol.

Calculated values
Mass density: 6.14 Mg/m³
Size of the total moment: 4.803 μB per formula unit
Crystal system: orthorhombic

Cell lengths 3.664, 3.198, 7.690 Å; angles 102.00, 103.78, 90.00 degrees
Positions (direct):
Mn1 0.434 0.434 0.868
Br1 0.749 0.249 0.498
Br2 0.020 0.020 0.039
Ru1 0.297 0.797 0.595



x.
This record from Alexandria describes MnRuBr2 after structural relaxation. The functional is GGA-PBEsol.

Calculated values
Mass density: 7.00 Mg/m³
Size of the total moment: 2.321 μB per formula unit
Crystal system: tetragonal

Cell lengths 3.090, 3.090, 7.845 Å; angles 90.00, 90.00, 90.00 degrees
Positions (direct):
Br1 0.500 0.500 0.324
Br2 0.000 0.000 0.929
Ru1 0.500 0.500 0.718
Mn1 0.000 0.000 0.530



We find x to be the most stable, with the next structure 3.7 kJ/mol of atoms higher.



w.
This record from Alexandria describes Mn2SbBr after structural relaxation. The functional is GGA-PBEsol.

Calculated values
Mass density: 6.98 Mg/m³
Size of the total moment: 6.870 μB per formula unit
Crystal system: tetragonal

Cell lengths 3.296, 3.296, 6.821 Å; angles 90.00, 90.00, 90.00 degrees
Positions (direct):
Br1 0.500 0.500 0.500
Mn1 0.000 0.000 0.780
Mn2 0.000 0.000 0.220
Sb1 0.500 0.500 0.000



x.
This record from Alexandria describes Mn2SbBr after structural relaxation. The functional is GGA-PBEsol.

Calculated values
Mass density: 6.46 Mg/m³
Size of the total moment: 7.069 μB per formula unit
Crystal system: tetragonal

Cell lengths 3.345, 3.345, 7.157 Å; angles 90.00, 90.00, 90.00 degrees
Positions (direct):
Sb1 0.000 0.000 0.407
Mn1 0.500 0.500 0.223
Mn2 0.000 0.000 0.024
Br1 0.500 0.500 0.845



We find x to be the most stable, with the next structure 26.7 kJ/mol of atoms higher.



w.
This record from Alexandria describes MnSbBr2 after structural relaxation. The functional is GGA-PBEsol.

Calculated values
Mass density: 6.21 Mg/m³
Size of the total moment: 3.748 μB per formula unit
Crystal system: cubic

Cell lengths 5.029, 5.029, 5.029 Å; angles 60.00, 60.00, 60.00 degrees
Positions (direct):
Br1 0.250 0.250 0.250
Br2 0.750 0.750 0.750
Mn1 0.000 0.000 0.000
Sb1 0.500 0.500 0.500



x.
This record from Alexandria describes MnSbBr2 after structural relaxation. The functional is GGA-PBEsol.

Calculated values
Mass density: 5.12 Mg/m³
Size of the total moment: 2.703 μB per formula unit
Crystal system: tetragonal

Cell lengths 6.993, 6.993, 6.993 Å; angles 136.54, 97.88, 97.88 degrees
Positions (direct):
Mn1 0.500 0.250 0.750
Mn2 0.000 0.500 0.500
Sb1 0.000 0.000 0.000
Sb2 0.500 0.750 0.250
Br1 0.146 0.271 0.625
Br2 0.646 0.375 0.521
Br3 0.354 0.875 0.729
Br4 0.854 0.479 0.125



We find x to be the most stable, with the next structure 34.6 kJ/mol of atoms higher.



w.
This record from Alexandria describes MnSbBr2 after structural relaxation. The functional is GGA-PBEsol.

Calculated values
Mass density: 5.21 Mg/m³
Size of the total moment: 4.764 μB per formula unit
Crystal system: tetragonal

Cell lengths 3.224, 3.224, 10.326 Å; angles 90.00, 90.00, 90.00 degrees
Positions (direct):
Br1 0.000 0.000 0.842
Br2 0.000 0.000 0.158
Sb1 0.500 0.500 0.500
Mn1 0.500 0.500 0.000



x.
This record from Alexandria describes MnSbBr2 after structural relaxation. The functional is GGA-PBEsol.

Calculated values
Mass density: 4.75 Mg/m³
Size of the total moment: 3.996 μB per formula unit
Crystal system: orthorhombic

Cell lengths 3.475, 5.346, 7.095 Å; angles 112.13, 104.18, 90.00 degrees
Positions (direct):
Br1 0.059 0.059 0.119
Br2 0.833 0.333 0.667
Mn1 0.472 0.472 0.944
Sb1 0.135 0.635 0.271



y.
This record from Alexandria describes MnSbBr2 after structural relaxation. The functional is GGA-PBEsol.

Calculated values
Mass density: 5.20 Mg/m³
Size of the total moment: 4.381 μB per formula unit
Crystal system: monoclinic

Cell lengths 3.416, 5.172, 6.459 Å; angles 102.13, 105.33, 90.00 degrees
Positions (direct):
Mn1 0.000 0.500 0.000
Br1 0.339 0.305 0.678
Br2 0.661 0.695 0.322
Sb1 0.500 0.000 0.000



We find x to be the most stable, with the next structure 6.0 kJ/mol of atoms higher.



w.
This record from Alexandria describes ScMnBr2 after structural relaxation. The functional is GGA-PBEsol.

Calculated values
Mass density: 4.49 Mg/m³
Size of the total moment: 4.627 μB per formula unit
Crystal system: trigonal

Cell lengths 3.418, 3.418, 9.708 Å; angles 79.86, 79.86, 60.00 degrees
Positions (direct):
Sc1 0.000 0.000 0.000
Mn1 0.500 0.500 0.500
Br1 0.730 0.730 0.809
Br2 0.270 0.270 0.191



x.
This record from Alexandria describes ScMnBr2 after structural relaxation. The functional is GGA-PBEsol.

Calculated values
Mass density: 4.73 Mg/m³
Size of the total moment: 3.840 μB per formula unit
Crystal system: orthorhombic

Cell lengths 3.292, 4.567, 6.685 Å; angles 109.97, 104.26, 90.00 degrees
Positions (direct):
Sc1 0.265 0.765 0.530
Mn1 0.571 0.571 0.141
Br1 0.945 0.945 0.891
Br2 0.719 0.219 0.438



We find w to be the most stable, with the next structure 2.9 kJ/mol of atoms higher.



w.
This record from Alexandria describes ScMn2Br after structural relaxation. The functional is GGA-PBEsol.

Calculated values
Mass density: 5.83 Mg/m³
Size of the total moment: 6.090 μB per formula unit
Crystal system: tetragonal

Cell lengths 3.457, 3.457, 5.598 Å; angles 90.00, 90.00, 90.00 degrees
Positions (direct):
Br1 0.500 0.500 0.500
Mn1 0.000 0.000 0.763
Mn2 0.000 0.000 0.237
Sc1 0.500 0.500 0.000



x.
This record from Alexandria describes ScMn2Br after structural relaxation. The functional is GGA-PBEsol.

Calculated values
Mass density: 5.77 Mg/m³
Size of the total moment: 6.464 μB per formula unit
Crystal system: orthorhombic

Cell lengths 3.148, 4.484, 4.783 Å; angles 90.00, 90.00, 90.00 degrees
Positions (direct):
Sc1 0.500 0.000 0.500
Mn1 0.000 0.000 0.000
Mn2 0.500 0.500 0.000
Br1 0.000 0.500 0.500



We find w to be the most stable, with the next structure 3.4 kJ/mol of atoms higher.



w.
This record from Alexandria describes Sc2MnBr after structural relaxation. The functional is GGA-PBEsol.

Calculated values
Mass density: 4.83 Mg/m³
Size of the total moment: 2.170 μB per formula unit
Crystal system: orthorhombic

Cell lengths 3.156, 4.637, 5.285 Å; angles 90.00, 90.00, 90.00 degrees
Positions (direct):
Sc1 0.000 0.000 0.000
Sc2 0.500 0.500 0.500
Br1 0.500 0.500 0.000
Mn1 0.000 0.000 0.500



x.
This record from Alexandria describes Sc2MnBr after structural relaxation. The functional is GGA-PBEsol.

Calculated values
Mass density: 4.40 Mg/m³
Size of the total moment: 0.000 μB per formula unit
Crystal system: trigonal

Cell lengths 3.386, 3.386, 8.753 Å; angles 78.85, 78.85, 60.00 degrees
Positions (direct):
Sc1 0.102 0.102 0.695
Sc2 0.898 0.898 0.305
Br1 0.000 0.000 0.000
Mn1 0.500 0.500 0.500



We find x to be the most stable, with the next structure 0.9 kJ/mol of atoms higher.